This record from Alexandria via LeMat-Bulk describes a relaxed V3GaC crystal. The functional is PBE.

total energy	-8.34	eV per atom
DOS at the Fermi energy	0.591	states/eV/atom
crystal system	monoclinic

a = 2.9841 Å, b = 8.0020 Å, c = 5.3499 Å
α = 90.00°, β = 106.15°, γ = 90.00°
Element x y z (fractional)
V 0.0393 0.2500 0.0779
V 0.3738 0.0394 0.7451
V 0.3738 0.4606 0.7451
V 0.6262 0.5394 0.2549
V 0.6262 0.9606 0.2549
V 0.9607 0.7500 0.9221
Ga 0.2532 0.7500 0.5076
Ga 0.7468 0.2500 0.4924
C 0.0000 0.0000 0.0000
C 0.0000 0.5000 0.0000

This record from Alexandria via LeMat-Bulk describes a relaxed VGa2C crystal. The functional is PBE.

total energy	-5.59	eV per atom
DOS at the Fermi energy	0.776	states/eV/atom
crystal system	tetragonal

a = 5.5540 Å, b = 5.5540 Å, c = 5.5540 Å
α = 98.26°, β = 98.26°, γ = 135.46°
Element x y z (fractional)
V 0.0000 0.0000 0.0000
V 0.7500 0.2500 0.5000
Ga 0.2244 0.6250 0.0994
Ga 0.3750 0.4744 0.5994
Ga 0.5256 0.1250 0.9006
Ga 0.8750 0.7756 0.4006
C 0.2500 0.7500 0.5000
C 0.5000 0.5000 0.0000